GdSbPb | PBE-GGA | optimized geometry

Unit cell a=5.4862 b=5.4862 c=3.3250 alpha=90.00 beta=90.00 gamma=120.00
Last column: nearest neighbours and their distance in Å.
Space group P3m1 (No. 156)
One atom of each set of equivalent atoms:
Gd  0.0000  0.0000  0.0000  2 Gd 3.32, 6 Sb 3.58, 6 Pb 3.58
Sb  0.6667  0.3333  0.5011  3 Pb 3.17, 2 Sb 3.32
Pb  0.3333  0.6667  0.4994  3 Sb 3.17, 2 Pb 3.32

raw total energy = -7.63 eV/atom
energy relative to the elements, uncorrected = -0.33 eV per atom
V = 86.67 Å³ per cell